Run i
Computed, not measured: a relaxed structure of In2PtBr at the GGA-PBEsol level of DFT.

Geometry as POSCAR:
```
In2PtBr
1.0
-1.350 1.169 3.078
0.394 -3.237 1.403
7.433 2.895 0.104
Br Pt In
1 1 2
direct
0.808 0.308 0.615 Br
0.540 0.540 0.080 Pt
0.974 0.974 0.949 In
0.178 0.678 0.356 In
```

Density of states at the Fermi level (states/eV/atom): 0.3783

=====

Run ii
Computed, not measured: a relaxed structure of In2PtBr at the GGA-PBEsol level of DFT.

Geometry as POSCAR:
```
In2PtBr
1.0
3.822 0.000 0.000
1.911 3.310 0.000
1.911 1.103 7.512
Br Pt In
1 1 2
direct
0.239 0.239 0.282 Br
0.495 0.495 0.516 Pt
0.001 0.001 0.998 In
0.765 0.765 0.704 In
```

Density of states at the Fermi level (states/eV/atom): 0.2653

=====

Run iii
Computed, not measured: a relaxed structure of In2PtBr at the GGA-PBEsol level of DFT.

Geometry as POSCAR:
```
In2PtBr
1.0
-1.853 0.284 4.620
1.227 -3.440 3.394
2.979 1.209 3.811
Br Pt In
1 1 2
direct
0.000 0.000 0.000 Br
0.500 0.500 0.500 Pt
0.750 0.750 0.750 In
0.250 0.250 0.250 In
```

Density of states at the Fermi level (states/eV/atom): 0.9220

=====

It is run iii that is the least stable of them.

=====

Run i
Computed, not measured: a relaxed structure of In2RhBr at the GGA-PBEsol level of DFT.

Geometry as POSCAR:
```
In2RhBr
1.0
-3.946 -0.171 2.944
0.570 -0.664 4.848
-0.910 3.704 3.117
Rh Br In
1 1 2
direct
0.500 0.500 0.500 Rh
0.000 0.000 0.000 Br
0.250 0.250 0.250 In
0.750 0.750 0.750 In
```

Density of states at the Fermi level (states/eV/atom): 1.3002

=====

Run ii
Computed, not measured: a relaxed structure of In2RhBr at the GGA-PBEsol level of DFT.

Geometry as POSCAR:
```
In2RhBr
1.0
3.116 0.034 0.034
-0.053 5.091 0.009
-0.053 -0.007 5.091
Rh Br In
1 1 2
direct
0.500 0.500 0.500 Rh
0.500 0.000 0.000 Br
0.000 0.000 0.500 In
0.000 0.500 0.000 In
```

Density of states at the Fermi level (states/eV/atom): 0.6703

=====

It is run i that is the least stable of them.

=====

Run i
Computed, not measured: a relaxed structure of In2RhBr at the GGA-PBEsol level of DFT.

Geometry as POSCAR:
```
In2RhBr
1.0
3.354 0.000 0.000
0.000 3.188 0.023
-1.677 -0.072 8.068
Rh Br In
1 1 2
direct
0.436 0.501 0.872 Rh
0.195 0.997 0.389 Br
0.030 0.002 0.059 In
0.840 0.000 0.680 In
```

Density of states at the Fermi level (states/eV/atom): 0.4154

=====

Run ii
Computed, not measured: a relaxed structure of In2RhBr at the GGA-PBEsol level of DFT.

Geometry as POSCAR:
```
In2RhBr
1.0
3.279 0.000 0.000
0.000 4.992 0.000
0.000 0.000 4.981
Rh Br In
1 1 2
direct
0.500 0.500 0.000 Rh
0.000 0.500 0.500 Br
0.000 0.000 0.000 In
0.500 0.000 0.500 In
```

Density of states at the Fermi level (states/eV/atom): 0.8388

=====

It is run ii that is the least stable of them.